1.
Entry from Alexandria: As3WI after structural relaxation (PBE).

Structure (extended XYZ):
```
5
Lattice="4.955 0.000 0.000 0.000 4.955 0.000 0.000 0.000 4.955" Properties=species:S:1:pos:R:3 pbc="T T T"
I 2.477 2.477 2.477
As 0.000 2.477 0.000
As 0.000 0.000 2.477
As 2.477 0.000 0.000
W 0.000 0.000 0.000
```

Values from the calculation:
DFT total energy = -26.4 eV per formula unit
Polymorph energy (0 for the lowest one) = 0.000 eV per atom
Uncorrected formation energy = 0.413 eV per atom
D(E_F) = 0.884 states/eV per atom


2.
Entry from Alexandria: AsWI2 after structural relaxation (PBE).

Structure (extended XYZ):
```
4
Lattice="2.925 3.372 2.206 -1.901 3.099 3.403 1.220 -0.521 4.799" Properties=species:S:1:pos:R:3 pbc="T T T"
I 0.561 1.487 2.602
I 1.683 4.462 7.806
As 0.000 0.000 0.000
W 1.122 2.975 5.204
```

Values from the calculation:
DFT total energy = -15.5 eV per formula unit
Polymorph energy (0 for the lowest one) = 0.837 eV per atom
Uncorrected formation energy = 1.292 eV per atom
D(E_F) = 0.612 states/eV per atom


3.
Entry from Alexandria: AsWI3 after structural relaxation (PBE).

Structure (extended XYZ):
```
5
Lattice="-3.273 4.131 1.076 -4.266 -3.222 -0.605 0.180 -1.222 5.236" Properties=species:S:1:pos:R:3 pbc="T T T"
I -2.133 -1.611 -0.302
I 0.090 -0.611 2.618
I -1.637 2.066 0.538
As -3.679 -0.156 2.854
W 0.000 0.000 0.000
```

Values from the calculation:
DFT total energy = -17.2 eV per formula unit
Polymorph energy (0 for the lowest one) = 0.000 eV per atom
Uncorrected formation energy = 1.018 eV per atom
D(E_F) = 1.220 states/eV per atom


4.
Entry from Alexandria: YAsI2 after structural relaxation (PBE).

Structure (extended XYZ):
```
4
Lattice="0.000 3.815 3.815 3.815 0.000 3.815 3.815 3.815 0.000" Properties=species:S:1:pos:R:3 pbc="T T T"
I 1.907 1.907 1.907
I 5.722 5.722 5.722
Y 3.815 3.815 3.815
As 0.000 0.000 0.000
```

Values from the calculation:
DFT total energy = -15.3 eV per formula unit
Polymorph energy (0 for the lowest one) = 0.293 eV per atom
Uncorrected formation energy = -0.276 eV per atom
D(E_F) = 1.412 states/eV per atom


5.
Entry from Alexandria: YAs2I2 after structural relaxation (PBE).

Structure (extended XYZ):
```
5
Lattice="3.718 0.000 0.000 0.000 3.718 0.000 1.859 1.859 11.846" Properties=species:S:1:pos:R:3 pbc="T T T"
I 1.859 1.859 1.867
I 3.718 3.718 9.979
Y 0.000 0.000 0.000
As 3.718 1.859 5.923
As 1.859 3.718 5.923
```

Values from the calculation:
DFT total energy = -21.3 eV per formula unit
Polymorph energy (0 for the lowest one) = 0.000 eV per atom
Uncorrected formation energy = -0.478 eV per atom
D(E_F) = 1.648 states/eV per atom


6.
Entry from Alexandria: YAsI after structural relaxation (PBE).

Structure (extended XYZ):
```
6
Lattice="3.992 -0.069 0.575 0.007 6.226 0.559 0.976 2.447 7.608" Properties=species:S:1:pos:R:3 pbc="T T T"
Y 2.238 7.260 6.387
Y 2.737 1.345 2.354
As 4.417 2.408 4.481
As 0.558 6.196 4.260
I 2.907 4.561 1.486
I 2.068 4.044 7.255
```

Values from the calculation:
DFT total energy = -16.1 eV per formula unit
Uncorrected formation energy = -1.156 eV per atom
D(E_F) = 0.125 states/eV per atom


7.
Entry from Alexandria: YAs3I after structural relaxation (PBE).

Structure (extended XYZ):
```
5
Lattice="-3.966 0.696 3.395 0.592 -4.948 1.706 3.415 1.666 3.647" Properties=species:S:1:pos:R:3 pbc="T T T"
I 0.000 0.000 0.000
Y 0.021 -1.293 4.374
As 0.296 -2.474 0.853
As 1.708 0.833 1.824
As -1.983 0.348 1.698
```

Values from the calculation:
DFT total energy = -18.8 eV per formula unit
Polymorph energy (0 for the lowest one) = 0.199 eV per atom
Uncorrected formation energy = 0.640 eV per atom
D(E_F) = 0.593 states/eV per atom


8.
Entry from Alexandria: Y2AsI2 after structural relaxation (PBE).

Structure (extended XYZ):
```
5
Lattice="4.118 0.000 0.762 1.988 3.606 0.762 -0.002 -0.001 11.523" Properties=species:S:1:pos:R:3 pbc="T T T"
Y 3.792 2.239 2.520
Y 2.312 1.365 10.526
As 0.000 0.000 0.000
I 1.392 0.822 3.988
I 4.712 2.783 9.058
```

Values from the calculation:
DFT total energy = -28.1 eV per formula unit
Uncorrected formation energy = -1.491 eV per atom
D(E_F) = 0.311 states/eV per atom


9.
Entry from Alexandria: Y4AsI5 after structural relaxation (PBE).

Structure (extended XYZ):
```
10
Lattice="-2.848 2.860 1.113 -5.157 -6.362 3.151 6.731 0.906 7.016" Properties=species:S:1:pos:R:3 pbc="T T T"
Y -0.253 1.646 2.997
Y 2.797 2.429 8.787
Y -1.021 -4.242 8.284
Y -4.071 -5.025 2.494
As -1.424 1.430 0.557
I 0.020 -1.372 3.575
I -2.443 -4.459 5.204
I 1.169 1.863 6.077
I -4.002 -1.751 2.132
I -1.294 -1.224 7.706
```

Values from the calculation:
DFT total energy = -51.1 eV per formula unit
Uncorrected formation energy = -1.283 eV per atom
D(E_F) = 0.347 states/eV per atom


10.
Entry from Alexandria: YAs2I2 after structural relaxation (PBE).

Structure (extended XYZ):
```
10
Lattice="-5.529 5.326 -2.423 -2.572 -5.206 -5.575 -2.852 -1.658 2.864" Properties=species:S:1:pos:R:3 pbc="T T T"
I -4.121 -2.561 -5.587
I -6.371 1.143 -5.683
I -3.980 2.681 -2.411
I -1.729 -1.023 -2.315
Y 0.000 0.000 0.000
Y -4.050 0.060 -3.999
As -4.097 -3.412 -2.723
As -7.268 -1.572 -4.816
As -6.856 1.873 -2.411
As -3.685 0.033 -0.318
```

Values from the calculation:
DFT total energy = -18.1 eV per formula unit
Polymorph energy (0 for the lowest one) = 0.627 eV per atom
Uncorrected formation energy = 0.148 eV per atom
D(E_F) = 0.774 states/eV per atom


11.
Entry from Alexandria: Y3AsI3 after structural relaxation (PBE).

Structure (extended XYZ):
```
28
Lattice="-2.892 4.647 -8.939 1.126 -10.295 -1.620 -7.342 1.605 7.307" Properties=species:S:1:pos:R:3 pbc="T T T"
Y -3.932 -0.110 -7.685
Y -3.436 2.447 -2.737
Y -4.230 1.733 1.246
Y -2.134 -3.132 -9.838
Y -5.963 2.924 -5.769
Y -2.488 3.438 -6.625
Y -5.122 -0.581 -3.766
Y -3.074 -3.775 -6.407
Y -1.397 -0.238 -5.111
Y -2.441 -0.780 -0.640
Y -7.316 1.826 -1.487
Y -6.467 -1.330 0.059
As -1.606 -1.662 -7.514
As -4.836 0.553 -1.221
As -3.723 1.313 -5.282
As -1.835 0.401 1.827
I -6.829 -7.512 3.426
I -6.775 -3.111 -2.498
I -7.864 -3.796 1.704
I -7.031 -0.949 6.794
I -1.741 -6.058 -1.671
I -2.692 -2.522 -3.404
I -5.977 -0.228 2.949
I -3.884 -3.278 0.577
I -4.770 -5.927 -4.611
I -5.023 -3.940 4.589
I -2.936 -6.935 2.466
I -5.773 -6.672 -0.576
```

Values from the calculation:
DFT total energy = -37.6 eV per formula unit
Uncorrected formation energy = -1.276 eV per atom
D(E_F) = 0.395 states/eV per atom


12.
Entry from Alexandria: YAs3I after structural relaxation (PBE).

Structure (extended XYZ):
```
5
Lattice="-1.863 3.126 4.116 3.266 -2.678 3.513 4.006 3.638 -0.950" Properties=species:S:1:pos:R:3 pbc="T T T"
I 2.704 2.043 3.339
Y 0.000 0.000 0.000
As 1.633 -1.339 1.757
As 2.003 1.819 -0.475
As -0.932 1.563 2.058
```

Values from the calculation:
DFT total energy = -19.8 eV per formula unit
Polymorph energy (0 for the lowest one) = 0.000 eV per atom
Uncorrected formation energy = 0.440 eV per atom
D(E_F) = 1.641 states/eV per atom


13.
Entry from Alexandria: YAsI2 after structural relaxation (PBE).

Structure (extended XYZ):
```
8
Lattice="-5.864 2.087 9.068 -9.079 1.067 -6.116 -8.006 -1.241 1.778" Properties=species:S:1:pos:R:3 pbc="T T T"
I -7.649 1.429 6.659
I -13.425 2.403 5.513
I -10.296 0.098 3.325
I -11.313 0.916 9.149
Y 0.000 0.000 0.000
Y -10.671 1.212 6.161
As -7.471 1.577 1.476
As -12.278 0.702 -1.431
```

Values from the calculation:
DFT total energy = -16.5 eV per formula unit
Polymorph energy (0 for the lowest one) = 0.000 eV per atom
Uncorrected formation energy = -0.569 eV per atom
D(E_F) = 0.092 states/eV per atom


14.
Entry from Alexandria: YAs2I after structural relaxation (PBE).

Structure (extended XYZ):
```
8
Lattice="-0.623 -4.169 1.517 2.487 0.940 3.606 -8.187 1.720 7.982" Properties=species:S:1:pos:R:3 pbc="T T T"
I 0.000 0.000 0.000
I -3.939 -2.032 6.030
Y 0.932 -1.615 2.561
Y -2.384 0.523 7.075
As -2.060 -1.624 3.236
As -0.635 0.062 4.597
As -5.182 0.177 8.283
As -4.768 -1.633 10.094
```

Values from the calculation:
DFT total energy = -19.0 eV per formula unit
Polymorph energy (0 for the lowest one) = 0.000 eV per atom
Uncorrected formation energy = -0.418 eV per atom
D(E_F) = 0.231 states/eV per atom


15.
Entry from Alexandria: YAs2I after structural relaxation (PBE).

Structure (extended XYZ):
```
4
Lattice="0.000 3.675 3.675 3.675 0.000 3.675 3.675 3.675 0.000" Properties=species:S:1:pos:R:3 pbc="T T T"
I 3.675 3.675 3.675
Y 0.000 0.000 0.000
As 1.837 1.837 1.837
As 5.512 5.512 5.512
```

Values from the calculation:
DFT total energy = -17.1 eV per formula unit
Polymorph energy (0 for the lowest one) = 0.468 eV per atom
Uncorrected formation energy = 0.050 eV per atom
D(E_F) = 1.034 states/eV per atom


16.
Entry from Alexandria: YZnAs2I after structural relaxation (PBE).

Structure (extended XYZ):
```
5
Lattice="-3.700 0.648 -2.915 -3.191 -3.886 3.186 -1.556 3.543 2.763" Properties=species:S:1:pos:R:3 pbc="T T T"
I -4.224 0.153 1.517
Y -1.596 -1.943 1.593
As -0.778 1.771 1.381
As -1.850 0.324 -1.458
Zn 0.000 0.000 0.000
```

Values from the calculation:
DFT total energy = -18.4 eV per formula unit
Uncorrected formation energy = 0.029 eV per atom
D(E_F) = 0.203 states/eV per atom


17.
Entry from Alexandria: ZnAsI after structural relaxation (PBE).

Structure (extended XYZ):
```
6
Lattice="-4.917 -0.512 1.871 -3.330 -4.029 0.772 1.442 -2.600 10.963" Properties=species:S:1:pos:R:3 pbc="T T T"
Zn 0.029 -1.069 3.748
Zn -6.833 -6.072 9.857
As -0.693 -2.080 5.940
As -6.111 -5.061 7.665
I -2.089 -4.011 10.105
I -4.715 -3.130 3.500
```

Values from the calculation:
DFT total energy = -8.4 eV per formula unit
Polymorph energy (0 for the lowest one) = 0.000 eV per atom
Uncorrected formation energy = -0.300 eV per atom
D(E_F) = 0.102 states/eV per atom


18.
Entry from Alexandria: Zn2As2I after structural relaxation (PBE).

Structure (extended XYZ):
```
5
Lattice="4.022 0.000 0.000 0.000 4.022 0.000 2.011 2.011 6.904" Properties=species:S:1:pos:R:3 pbc="T T T"
I 0.000 0.000 0.000
As 4.022 2.011 3.452
As 2.011 4.022 3.452
Zn 2.011 2.011 1.581
Zn 4.022 4.022 5.323
```

Values from the calculation:
DFT total energy = -12.6 eV per formula unit
Uncorrected formation energy = 0.161 eV per atom
D(E_F) = 0.314 states/eV per atom


19.
Entry from Alexandria: ZnAsI3 after structural relaxation (PBE).

Structure (extended XYZ):
```
5
Lattice="-1.621 -4.877 2.556 -1.827 -2.037 -5.046 5.194 -2.239 -0.977" Properties=species:S:1:pos:R:3 pbc="T T T"
I -0.913 -1.018 -2.523
I 2.597 -1.119 -0.488
I -0.811 -2.439 1.278
As 0.000 0.000 0.000
Zn 0.873 -4.576 -1.733
```

Values from the calculation:
DFT total energy = -9.7 eV per formula unit
Polymorph energy (0 for the lowest one) = 0.000 eV per atom
Uncorrected formation energy = 0.175 eV per atom
D(E_F) = 0.551 states/eV per atom


20.
Entry from Alexandria: Zn3AsI9 after structural relaxation (PBE).

Structure (extended XYZ):
```
26
Lattice="9.259 0.000 3.896 4.221 9.805 2.919 0.278 -0.206 12.289" Properties=species:S:1:pos:R:3 pbc="T T T"
Zn 10.033 5.358 13.053
Zn 9.180 0.559 6.036
Zn 4.223 9.087 12.922
Zn 4.077 4.287 6.203
Zn 6.653 2.190 11.997
Zn 7.260 7.195 6.737
As 2.244 5.054 1.665
As 4.528 0.049 8.141
I 3.784 1.682 5.874
I 4.662 6.482 12.902
I 4.800 2.622 13.751
I 7.301 7.627 9.289
I 2.160 0.787 9.543
I 2.896 5.792 4.338
I 9.831 7.279 5.658
I 5.627 2.273 9.404
I 11.569 9.095 10.417
I 10.268 4.090 15.384
I 8.746 7.664 13.146
I 10.013 2.864 7.022
I 6.662 4.716 6.040
I 11.790 9.516 14.855
I 8.680 3.795 11.351
I 6.304 8.801 4.836
I 7.947 0.756 3.685
I 3.317 5.556 8.394
```

Values from the calculation:
DFT total energy = -27.3 eV per formula unit
Uncorrected formation energy = -0.378 eV per atom
D(E_F) = 0.000 states/eV per atom